[1]
The following is a DFT calculation (GGA-PBE) of LaCrCo2 after structural relaxation.

Lattice parameters (Å, degrees): 4.4660 4.4660 3.2823 90.00 90.00 90.00
Space group P4/mmm (No. 123)
Unique sites:
La: 0.0000 0.0000 0.0000 [1 per cell]
Cr: 0.5000 0.5000 0.0000 [1 per cell]
Co: 0.0000 0.5000 0.5000 [2 per cell]

## Properties
The value obtained for the calculated density is 7.83 Mg/m³. The energy relative to the elements comes out at 389 meV per atom. The volume is 65 Å³ per cell. For the total energy, the calculation gives -6.80 eV/atom.

=====

[2]
The following is a DFT calculation (GGA-PBE) of BeCdS2O8 after structural relaxation.

Lattice parameters (Å, degrees): 7.7164 5.1606 6.8236 90.00 93.43 90.00
Space group C2/m (No. 12)
Unique sites:
Be: 0.0000 0.0000 0.0000 [2 per cell]
Cd: 0.0000 0.0000 0.5000 [2 per cell]
S: 0.1496 0.5000 0.7755 [4 per cell]
O: 0.0382 0.2630 0.7915 [8 per cell]
O: 0.2142 0.0000 0.0645 [4 per cell]
O: 0.2178 0.5000 0.5772 [4 per cell]

## Properties
The value obtained for the calculated density is 3.84 Mg/m³. For the energy relative to the elements, uncorrected, the calculation gives -143 kJ per mole of atoms. The volume is 271 Å³ per cell. For the total energy, the calculation gives -5.86 eV/atom.

=====

[3]
The following is a DFT calculation (GGA-PBE) of La2MgSi3Au4 after structural relaxation.

Lattice parameters (Å, degrees): 4.3740 4.3740 10.7655 90.00 90.00 90.00
Space group P-4m2 (No. 115)
Unique sites:
La: 0.0000 0.5000 0.2359 [2 per cell]
Mg: 0.0000 0.0000 0.5000 [1 per cell]
Si: 0.0000 0.5000 0.8673 [2 per cell]
Si: 0.5000 0.5000 0.5000 [1 per cell]
Au: 0.0000 0.0000 0.0000 [1 per cell]
Au: 0.0000 0.5000 0.6382 [2 per cell]
Au: 0.5000 0.5000 0.0000 [1 per cell]

## Properties
The value obtained for the calculated density is 9.47 Mg/m³. For the energy relative to the elements, uncorrected, the calculation gives -65 kJ per mole of atoms. The volume is 206 Å³ per cell. For the total energy, the calculation gives -4.75 eV/atom.

=====

[4]
The following is a DFT calculation (GGA-PBE) of TbHgBi2 after structural relaxation.

Lattice parameters (Å, degrees): 4.5410 4.5410 27.5554 90.00 90.00 120.00
Space group R-3m (No. 166, hexagonal axes)
Unique sites:
Tb: 0.0000 0.0000 0.0000 [3 per cell]
Hg: 0.0000 0.0000 0.5000 [3 per cell]
Bi: 0.0000 0.0000 0.3975 [6 per cell]

## Properties
The value obtained for the calculated density is 7.87 Mg/m³. The energy relative to the elements comes out at -92 meV per atom. The volume is 492 Å³ per cell. For the total energy, the calculation gives -3.27 eV/atom. Its energy above the lowest structure with this stoichiometry is 292 meV/atom.

=====

[5]
The following is a DFT calculation (GGA-PBE) of Er2Tl3ZnTe6 after structural relaxation.

Lattice parameters (Å, degrees): 7.5925 13.1684 8.3182 90.00 108.06 90.00
Space group C2/m (No. 12)
Unique sites:
Er: 0.0000 0.1641 0.0000 [4 per cell]
Tl: 0.0000 0.0000 0.5000 [2 per cell]
Tl: 0.0000 0.3245 0.5000 [4 per cell]
Zn: 0.0000 0.5000 0.0000 [2 per cell]
Te: 0.2271 0.3400 0.2057 [8 per cell]
Te: 0.2481 0.0000 0.2158 [4 per cell]

## Properties
The value obtained for the calculated density is 7.47 Mg/m³. For the energy relative to the elements, uncorrected, the calculation gives -69 kJ per mole of atoms. The volume is 791 Å³ per cell. For the total energy, the calculation gives -3.75 eV/atom.

=====

[6]
The following is a DFT calculation (GGA-PBE) of AcGa2Ge after structural relaxation.

Lattice parameters (Å, degrees): 3.7326 3.7326 6.8572 90.00 90.00 90.00
Space group P4/mmm (No. 123)
Unique sites:
Ac: 0.0000 0.0000 0.0000 [1 per cell]
Ga: 0.5000 0.5000 0.3128 [2 per cell]
Ge: 0.0000 0.0000 0.5000 [1 per cell]

## Properties
The value obtained for the calculated density is 7.63 Mg/m³. The energy relative to the elements comes out at -265 meV per atom. The volume is 96 Å³ per cell. For the total energy, the calculation gives -3.96 eV/atom. Its energy above the lowest structure with this stoichiometry is 101 meV/atom.